Entry 1:
First-principles (PBE) data for an optimized crystal structure of Ca4Se2N, as listed in Alexandria via LeMat-Bulk.

Cell and atoms, written as POSCAR:
```
Ca4Se2N
1.0
-3.8860 2.5938 1.1955
-2.6735 -2.5934 -3.0634
-5.6758 -7.4665 7.4783
Se Ca N
2 4 1
Direct
0.4195 0.4195 0.1611
0.5805 0.5805 0.8389
0.5000 0.0000 0.0000
0.6959 0.6959 0.6083
0.3041 0.3041 0.3917
0.0000 0.5000 0.0000
0.0000 0.0000 0.0000
```

Properties
Size of the total moment   1.27 μB/f.u.
Uncorrected formation energy   -16.95 kcal/mol of atoms
Energy above the most stable polymorph in this dataset   536 meV per atom

Entry 2:
First-principles (PBE) data for an optimized crystal structure of YAgSbI2, as listed in Alexandria via LeMat-Bulk.

Cell and atoms, written as POSCAR:
```
YAgSbI2
1.0
5.8971 0.0000 0.0000
0.0000 5.8971 0.0000
0.0000 0.0000 6.1926
Ag I Sb Y
1 2 1 1
Direct
0.5000 0.5000 0.5000
0.5000 0.0000 0.0000
0.0000 0.5000 0.0000
0.0000 0.0000 0.5000
0.0000 0.0000 0.0000
```

Properties
Size of the total moment   0.91 μB/f.u.
Uncorrected formation energy   -2.80 kcal/mol of atoms
Energy above the most stable polymorph in this dataset   0 meV per atom

Entry 3:
First-principles (PBE) data for an optimized crystal structure of Pu2AlO11, as listed in Alexandria via LeMat-Bulk.

Cell and atoms, written as POSCAR:
```
Pu2AlO11
1.0
8.8188 -0.0037 4.6007
4.2361 6.7670 2.6396
1.2763 -0.2618 8.3049
O Al Pu
22 2 4
Direct
0.5485 0.7422 0.5329
0.4588 0.0116 0.2765
0.0413 0.2226 0.4885
0.3361 0.7610 0.2374
0.1656 0.2609 0.7372
0.0890 0.1550 0.8452
0.4107 0.6550 0.3453
0.2254 0.7410 0.9910
0.9500 0.7300 0.5468
0.8233 0.4674 0.2588
0.5503 0.9532 0.7704
0.5426 0.2415 0.4910
0.2733 0.2298 0.0468
0.6314 0.2575 0.7429
0.8682 0.7574 0.2430
0.9586 0.0088 0.2582
0.9503 0.9675 0.7591
0.7474 0.7227 0.9885
0.6761 0.2427 0.0330
0.2740 0.5089 0.7586
0.2260 0.4531 0.2707
0.7532 0.5117 0.7763
0.7502 0.7263 0.7737
0.2498 0.2262 0.2738
0.6573 0.7317 0.2685
0.4187 0.2414 0.7586
0.0814 0.7413 0.2586
0.8424 0.2318 0.7686
```

Properties
Size of the total moment   2.33 μB/f.u.
Uncorrected formation energy   -39.58 kcal/mol of atoms

Entry 4:
First-principles (PBE) data for an optimized crystal structure of Pt2RhW, as listed in Alexandria via LeMat-Bulk.

Cell and atoms, written as POSCAR:
```
Pt2RhW
1.0
-2.3310 -1.1712 2.1499
-2.0367 -0.7194 -2.6003
2.1953 -4.9907 -0.3387
Pt Rh W
2 1 1
Direct
0.0000 0.0000 0.2539
0.0000 0.0000 0.7461
0.5000 0.5000 0.0000
0.5000 0.5000 0.5000
```

Properties
Size of the total moment   0.00 μB/f.u.
Energy above the most stable polymorph in this dataset   272 meV per atom
Formation energy   -0.03 eV per atom

Entry 5:
First-principles (PBE) data for an optimized crystal structure of La6Tb7, as listed in Alexandria via LeMat-Bulk.

Cell and atoms, written as POSCAR:
```
La6Tb7
1.0
6.6008 0.0000 1.3261
3.1672 5.7913 1.3261
0.9675 0.5736 12.2755
Tb La
7 6
Direct
0.0839 0.5856 0.7449
0.5000 0.5000 0.5000
0.4144 0.4144 0.2551
0.5856 0.0839 0.7449
0.4144 0.9161 0.2551
0.9161 0.4144 0.2551
0.5856 0.5856 0.7449
0.3338 0.3338 0.9986
0.9487 0.9487 0.1540
0.1584 0.1584 0.5249
0.6662 0.6662 0.0014
0.8416 0.8416 0.4751
0.0513 0.0513 0.8460
```

Properties
Size of the total moment   0.02 μB/f.u.
Formation energy   0.23 eV per atom

Entry 6:
First-principles (PBE) data for an optimized crystal structure of CrRuI2, as listed in Alexandria via LeMat-Bulk.

Cell and atoms, written as POSCAR:
```
CrRuI2
1.0
5.9194 0.0000 0.0000
0.0000 5.9194 0.0000
2.9597 2.9597 5.8642
Cr I Ru
2 4 2
Direct
0.5000 0.5000 0.0000
0.2500 0.7500 0.5000
0.8750 0.8660 0.7500
0.1340 0.6250 0.2500
0.6160 0.1250 0.2500
0.3750 0.3840 0.7500
0.7500 0.2500 0.5000
0.0000 0.0000 0.0000
```

Properties
Size of the total moment   0.00 μB/f.u.
Uncorrected formation energy   22.92 kcal/mol of atoms
Energy above the most stable polymorph in this dataset   0 meV per atom

Entry 7:
First-principles (PBE) data for an optimized crystal structure of Rb2Hg3S4, as listed in Alexandria via LeMat-Bulk.

Cell and atoms, written as POSCAR:
```
Rb2Hg3S4
1.0
-2.2055 -4.4894 5.2700
8.2937 -3.2066 3.6692
-1.9699 6.0235 7.2366
S Rb Hg
8 4 6
Direct
0.5298 0.9930 0.7734
0.3549 0.4103 0.2077
0.4702 0.0070 0.2266
0.0298 0.7734 0.9930
0.1451 0.7923 0.5897
0.9702 0.2266 0.0070
0.6451 0.5897 0.7923
0.8549 0.2077 0.4103
0.7136 0.5696 0.1121
0.2864 0.4304 0.8879
0.2136 0.1121 0.5696
0.7864 0.8879 0.4304
0.8090 0.8454 0.8393
0.3090 0.8393 0.8454
0.6910 0.1607 0.1546
0.1910 0.1546 0.1607
0.7500 0.4064 0.5936
0.2500 0.5936 0.4064
```

Properties
Size of the total moment   0.00 μB/f.u.
Uncorrected formation energy   -10.90 kcal/mol of atoms

Entry 8:
First-principles (PBE) data for an optimized crystal structure of HfSn3P, as listed in Alexandria via LeMat-Bulk.

Cell and atoms, written as POSCAR:
```
HfSn3P
1.0
5.5153 0.0000 0.0000
0.0000 5.5153 0.0000
0.0000 0.0000 5.5153
Hf Sn P
1 3 1
Direct
0.0000 0.0000 0.0000
0.5000 0.0000 0.0000
0.0000 0.5000 0.0000
0.0000 0.0000 0.5000
0.5000 0.5000 0.5000
```

Properties
Size of the total moment   0.00 μB/f.u.
Energy above the most stable polymorph in this dataset   177 meV per atom
Formation energy   0.86 eV per atom

Entry 9:
First-principles (PBE) data for an optimized crystal structure of NaMgNb, as listed in Alexandria via LeMat-Bulk.

Cell and atoms, written as POSCAR:
```
NaMgNb
1.0
2.9143 0.0746 0.1274
0.1274 5.7364 -0.0966
-0.8607 2.6543 8.0819
Nb Na Mg
2 2 2
Direct
0.3461 0.3752 0.6287
0.6539 0.6248 0.3713
0.0000 0.0000 0.0000
0.5000 0.5000 0.0000
0.1698 0.1492 0.3450
0.8302 0.8508 0.6550
```

Properties
Size of the total moment   0.00 μB/f.u.
Energy above the most stable polymorph in this dataset   230 meV per atom
Formation energy   0.41 eV per atom

Entry 10:
First-principles (PBE) data for an optimized crystal structure of NaTl3Pb4, as listed in Alexandria via LeMat-Bulk.

Cell and atoms, written as POSCAR:
```
NaTl3Pb4
1.0
3.3477 0.0000 -0.4224
-0.1759 6.4918 -1.3938
-0.2013 -1.1065 11.8819
Na Pb Tl
1 4 3
Direct
0.5000 0.0000 0.0000
0.7407 0.2291 0.4814
0.8720 0.6197 0.7441
0.2593 0.7709 0.5186
0.1280 0.3803 0.2559
0.8765 0.1226 0.7530
0.0000 0.5000 0.0000
0.1235 0.8774 0.2470
```

Properties
Size of the total moment   0.00 μB/f.u.
Energy above the most stable polymorph in this dataset   70 meV per atom
Formation energy   0.02 eV per atom

Entry 11:
First-principles (PBE) data for an optimized crystal structure of Ho2TmSc, as listed in Alexandria via LeMat-Bulk.

Cell and atoms, written as POSCAR:
```
Ho2TmSc
1.0
6.6315 -1.8726 -0.2541
-1.8568 6.2925 -2.1104
-0.5154 -3.1605 13.4125
Tm Ho Sc
4 8 4
Direct
0.2510 0.0031 0.3769
0.2495 0.4972 0.1231
0.7505 0.5028 0.8769
0.7490 0.9969 0.6231
0.2481 0.4983 0.3748
0.7488 0.4984 0.1250
0.7519 0.5017 0.6252
0.2483 0.9980 0.6250
0.7478 0.9981 0.8749
0.7517 0.0020 0.3750
0.2522 0.0019 0.1251
0.2512 0.5016 0.8750
0.2507 0.5031 0.6271
0.7493 0.4969 0.3729
0.7510 0.0033 0.1271
0.2490 0.9967 0.8729
```

Properties
Size of the total moment   0.00 μB/f.u.
Energy above the most stable polymorph in this dataset   14 meV per atom
Formation energy   0.04 eV per atom

Entry 12:
First-principles (PBE) data for an optimized crystal structure of In2AgBiH, as listed in Alexandria via LeMat-Bulk.

Cell and atoms, written as POSCAR:
```
In2AgBiH
1.0
5.7648 0.0000 0.0000
0.0000 5.7648 0.0000
0.0000 0.0000 3.5173
Ag Bi H In
1 1 1 2
Direct
0.0000 0.0000 0.0000
0.5000 0.5000 0.5000
0.0000 0.0000 0.5000
0.5000 0.0000 0.0000
0.0000 0.5000 0.0000
```

Properties
Size of the total moment   0.00 μB/f.u.
Energy above the most stable polymorph in this dataset   0 meV per atom